[1]
PBE ErThZnRh, optimized geometry; crystal system = cubic
1.0
0.000 3.552 3.552
3.552 0.000 3.552
3.552 3.552 0.000
Er Th Zn Rh
1 1 1 1
Cartesian
0.000 0.000 0.000 Er
3.552 3.552 3.552 Th
5.328 5.328 5.328 Zn
1.776 1.776 1.776 Rh

---

[2]
PBE Er3TiRh4, optimized geometry; crystal system = tetragonal
1.0
3.262 0.000 0.000
0.000 3.262 0.000
0.000 0.000 13.827
Er Ti Rh
3 1 4
Cartesian
0.000 0.000 0.000 Er
0.000 0.000 3.570 Er
0.000 0.000 10.257 Er
0.000 0.000 6.913 Ti
1.631 1.631 1.804 Rh
1.631 1.631 5.468 Rh
1.631 1.631 8.358 Rh
1.631 1.631 12.022 Rh

---

[3]
PBE ErTi2Rh3, optimized geometry; crystal system = tetragonal
1.0
3.125 0.000 0.000
0.000 3.125 0.000
0.000 0.000 10.154
Er Ti Rh
1 2 3
Cartesian
0.000 0.000 0.000 Er
0.000 0.000 3.493 Ti
0.000 0.000 6.661 Ti
1.563 1.563 2.056 Rh
1.563 1.563 5.077 Rh
1.563 1.563 8.099 Rh

---

[4]
PBE Er2TiRh, optimized geometry; crystal system = tetragonal
1.0
3.414 0.000 0.000
0.000 3.414 0.000
0.000 0.000 7.421
Er Ti Rh
2 1 1
Cartesian
0.000 0.000 1.654 Er
0.000 0.000 5.767 Er
1.707 1.707 3.711 Ti
1.707 1.707 0.000 Rh

---

[5]
PBE Er2TiRh4, optimized geometry; crystal system = trigonal
1.0
2.281 1.317 7.335
-2.281 1.317 7.335
0.000 -2.634 7.335
Er Ti Rh
2 1 4
Cartesian
0.000 0.000 5.290 Er
0.000 0.000 16.717 Er
0.000 0.000 0.000 Ti
0.000 0.000 2.522 Rh
0.000 0.000 8.118 Rh
0.000 0.000 13.888 Rh
0.000 0.000 19.485 Rh

---

[6]
PBE Er2TiZn2Rh5, optimized geometry; crystal system = tetragonal
1.0
9.819 0.000 0.000
0.000 9.819 0.000
0.000 0.000 3.455
Er Ti Zn Rh
4 2 4 10
Cartesian
1.677 3.232 0.000 Er
3.232 8.142 0.000 Er
6.586 1.677 0.000 Er
8.142 6.586 0.000 Er
0.000 0.000 0.000 Ti
4.909 4.909 0.000 Ti
1.254 6.164 0.000 Zn
3.655 1.254 0.000 Zn
6.164 8.564 0.000 Zn
8.564 3.655 0.000 Zn
0.000 4.909 1.728 Rh
0.638 7.887 1.728 Rh
1.932 0.638 1.728 Rh
2.978 5.547 1.728 Rh
4.271 2.978 1.728 Rh
4.909 0.000 1.728 Rh
5.547 6.841 1.728 Rh
6.841 4.271 1.728 Rh
7.887 9.181 1.728 Rh
9.181 1.932 1.728 Rh

---

One value per record, in order, for energy relative to the elements: -0.512 -0.857 -0.790 -0.305 -0.605 -0.682 eV/atom.
One value per record, in order, for energy: -0.208 -0.266 -0.289 -0.235 -0.266 -0.232 Ha/atom.
One value per record, in order, for calculated volume: 89.63 147.15 99.18 86.50 132.18 333.11 Å³/cell.